# Rb3Pu2Te6Au PBE relaxed
# - Uncorrected energy: -5.276 eV per atom
# - Formation energy from raw total energies: -77.4 kJ/mol of atoms
# - DOS at the Fermi energy: 50.58 states/eV/cell
# - ρ: 6.21 g/cm3
# - Total magnetic moment: 18.94 μB per cell
data_Rb3Pu2Te6Au
_chemical_formula_sum 'Rb6 Pu4 Te12 Au2'
_space_group_name_H-M_alt 'C 1 2/m 1'
_space_group_IT_number 12
_space_group_name_Hall '-C 2y'
_cell_length_a 8.1505
_cell_length_b 13.2357
_cell_length_c 8.9599
_cell_angle_alpha 90.00
_cell_angle_beta 109.09
_cell_angle_gamma 90.00
loop_
_atom_site_label
_atom_site_fract_x
_atom_site_fract_y
_atom_site_fract_z
Rb1 0.0000 0.0000 0.0000
Rb2 0.0000 0.3296 0.0000
Pu1 0.0000 0.1654 0.5000
Te1 0.2125 0.0000 0.7162
Te2 0.2193 0.3462 0.6807
Au1 0.0000 0.5000 0.5000

# Pu2ReAu PBE relaxed
# - Uncorrected energy: -11.202 eV per atom
# - DOS at the Fermi energy: 11.11 states/eV/cell
# - Excess energy over the best structure of this formula in the dataset: 0.000 eV per atom
# - ρ: 17.02 g/cm3
# - Total magnetic moment: 9.95 μB per cell
data_Pu2ReAu
_chemical_formula_sum 'Pu2 Re1 Au1'
_space_group_name_H-M_alt 'P 4/m m m'
_space_group_IT_number 123
_space_group_name_Hall '-P 4 2'
_cell_length_a 3.2362
_cell_length_b 3.2362
_cell_length_c 8.1150
_cell_angle_alpha 90.00
_cell_angle_beta 90.00
_cell_angle_gamma 90.00
loop_
_atom_site_label
_atom_site_fract_x
_atom_site_fract_y
_atom_site_fract_z
Pu1 0.0000 0.0000 0.2239
Re1 0.5000 0.5000 0.0000
Au1 0.5000 0.5000 0.5000

# Pu2ReAu PBE relaxed
# - Uncorrected energy: -10.664 eV per atom
# - DOS at the Fermi energy: 24.82 states/eV/cell
# - Excess energy over the best structure of this formula in the dataset: 0.538 eV per atom
# - ρ: 18.08 g/cm3
# - Total magnetic moment: 28.90 μB per cell
data_Pu2ReAu
_chemical_formula_sum 'Pu6 Re3 Au3'
_space_group_name_H-M_alt 'R -3 m'
_space_group_IT_number 166
_space_group_name_Hall '-R 3 2"'
_cell_length_a 2.9069
_cell_length_b 2.9069
_cell_length_c 32.8004
_cell_angle_alpha 90.00
_cell_angle_beta 90.00
_cell_angle_gamma 120.00
loop_
_atom_site_label
_atom_site_fract_x
_atom_site_fract_y
_atom_site_fract_z
Pu1 0.0000 0.0000 0.0826
Re1 0.0000 0.0000 0.0000
Au1 0.0000 0.0000 0.5000